Material: HfSb
Method: DFT, PBE-GGA
State: optimized geometry

Cell: 4.1514 4.1514 22.3172 Å, 90.00 90.00 90.00°
Space group I4_1/amd (No. 141, origin choice 2)
Asymmetric unit:
Hf1 0.0000 0.2500 0.0501 [8 per cell]
Sb1 0.0000 0.2500 0.1849 [8 per cell]

Results
Formation energy from raw total energies: -28.25 kJ per mole of atoms
DOS at the Fermi energy: 9.52 states/eV per cell
E_tot: -7.33 eV per atom

Material: Hf3Sb
Method: DFT, PBE-GGA
State: optimized geometry

Cell: 3.4715 9.6990 5.2612 Å, 90.00 90.00 90.00°
Space group Imm2 (No. 44)
Asymmetric unit:
Hf1 0.0000 0.0000 0.0000 [2 per cell]
Hf2 0.0000 0.2403 0.6273 [4 per cell]
Sb1 0.0000 0.5000 0.9747 [2 per cell]

Results
Formation energy from raw total energies: -20.98 kJ per mole of atoms
DOS at the Fermi energy: 9.37 states/eV per cell
E_tot: -8.71 eV per atom

Material: HfSb
Method: DFT, PBE-GGA
State: optimized geometry

Cell: 9.6025 9.6025 5.4615 Å, 90.00 90.00 90.00°
Space group I4/m (No. 87)
Asymmetric unit:
Hf1 0.0958 0.6231 0.0000 [8 per cell]
Sb1 0.1351 0.7273 0.5000 [8 per cell]

Results
Formation energy from raw total energies: -21.81 kJ per mole of atoms
DOS at the Fermi energy: 6.51 states/eV per cell
E_tot: -7.26 eV per atom

Material: Hf3Sb
Method: DFT, PBE-GGA
State: optimized geometry

Cell: 11.2275 11.2275 5.6907 Å, 90.00 90.00 90.00°
Space group I-4 (No. 82)
Asymmetric unit:
Hf1 0.0229 0.3539 0.4744 [8 per cell]
Hf2 0.0824 0.8944 0.2966 [8 per cell]
Hf3 0.1869 0.7849 0.7371 [8 per cell]
Sb1 0.0324 0.2903 0.9732 [8 per cell]

Results
Formation energy from raw total energies: -36.07 kJ per mole of atoms
DOS at the Fermi energy: 20.72 states/eV per cell
E_tot: -8.87 eV per atom

Material: HfSb3
Method: DFT, PBE-GGA
State: optimized geometry

Cell: 3.6781 9.2336 6.0547 Å, 90.00 90.00 90.00°
Space group Imm2 (No. 44)
Asymmetric unit:
Hf1 0.0000 0.0000 0.0000 [2 per cell]
Sb1 0.0000 0.2993 0.2278 [4 per cell]
Sb2 0.0000 0.5000 0.8677 [2 per cell]

Results
Formation energy from raw total energies: -18.73 kJ per mole of atoms
DOS at the Fermi energy: 2.76 states/eV per cell
E_tot: -5.77 eV per atom
E above lowest polymorph: 0.000 eV per atom

Material: Hf3Sb
Method: DFT, PBE-GGA
State: optimized geometry

Cell: 11.2060 11.2060 5.6989 Å, 90.00 90.00 90.00°
Space group P4_2/n (No. 86, origin choice 2)
Asymmetric unit:
Hf1 0.0358 0.5646 0.2473 [8 per cell]
Hf2 0.1018 0.2246 0.0476 [8 per cell]
Hf3 0.1458 0.6690 0.7129 [8 per cell]
Sb1 0.0477 0.2114 0.5467 [8 per cell]

Results
Formation energy from raw total energies: -32.71 kJ per mole of atoms
DOS at the Fermi energy: 20.43 states/eV per cell
E_tot: -8.83 eV per atom